CaPmEr: relaxed, PBE-GGA.

a = 3.660 Å, b = 3.660 Å, c = 15.638 Å
α = 90.00°, β = 90.00°, γ = 90.00°
Space group I4mm (No. 107)
One atom of each set of equivalent atoms:
1 Ca 0.000 0.000 0.000 [2 per cell]
2 Pm 0.000 0.000 0.321 [2 per cell]
3 Er 0.000 0.000 0.673 [2 per cell]

- Energy: -3.71 eV per atom
- Spin magnetization: 0.00 μB per cell
- Distance to the lowest polymorph of the same formula: 22 meV per atom
- Fermi-level density of states: 4.33 states/eV/f.u.
- Formation enthalpy at 0 K: 5.48 kJ/mol of atoms

***

CoBr: relaxed, PBE-GGA.

a = 3.241 Å, b = 3.241 Å, c = 3.241 Å
α = 90.00°, β = 90.00°, γ = 90.00°
Space group Pm-3m (No. 221)
One atom of each set of equivalent atoms:
1 Co 0.000 0.000 0.000 [1 per cell]
2 Br 0.500 0.500 0.500 [1 per cell]

- Energy: -3.67 eV per atom
- Uncorrected formation energy: 1.45 eV/f.u.
- Spin magnetization: 2.00 μB per cell
- Distance to the lowest polymorph of the same formula: 837 meV per atom
- Fermi-level density of states: 2.76 states/eV/f.u.

***

CdIn4BiPb2: relaxed, PBE-GGA.

a = 8.607 Å, b = 9.056 Å, c = 12.567 Å
α = 90.00°, β = 90.00°, γ = 90.00°
Space group Imma (No. 74)
One atom of each set of equivalent atoms:
1 Cd 0.000 0.000 0.000 [4 per cell]
2 In 0.000 0.004 0.247 [8 per cell]
3 In 0.236 0.250 0.002 [8 per cell]
4 Bi 0.250 0.250 0.250 [4 per cell]
5 Pb 0.000 0.000 0.500 [4 per cell]
6 Pb 0.250 0.250 0.750 [4 per cell]

- Energy: -2.78 eV per atom
- Spin magnetization: 0.00 μB per cell
- Fermi-level density of states: 3.38 states/eV/f.u.
- Formation enthalpy at 0 K: 11.40 kJ/mol of atoms

***

Pu2InPd: relaxed, PBE-GGA.

a = 4.320 Å, b = 4.320 Å, c = 4.792 Å
α = 90.00°, β = 90.00°, γ = 90.00°
Space group P4/mmm (No. 123)
One atom of each set of equivalent atoms:
1 Pu 0.000 0.500 0.000 [2 per cell]
2 In 0.000 0.000 0.500 [1 per cell]
3 Pd 0.500 0.500 0.500 [1 per cell]

- Energy: -9.43 eV per atom
- Spin magnetization: 11.53 μB per cell
- Distance to the lowest polymorph of the same formula: 0 meV per atom
- Fermi-level density of states: 10.58 states/eV/f.u.
- Formation enthalpy at 0 K: -27.17 kJ/mol of atoms

***

YHfZrV2: relaxed, PBE-GGA.

a = 4.704 Å, b = 4.704 Å, c = 5.086 Å
α = 90.00°, β = 90.00°, γ = 90.00°
Space group P4/mmm (No. 123)
One atom of each set of equivalent atoms:
1 Y 0.000 0.000 0.000 [1 per cell]
2 Hf 0.500 0.500 0.500 [1 per cell]
3 Zr 0.000 0.000 0.500 [1 per cell]
4 V 0.000 0.500 0.000 [2 per cell]

- Energy: -7.00 eV per atom
- Spin magnetization: 2.16 μB per cell
- Fermi-level density of states: 7.87 states/eV/f.u.
- Formation enthalpy at 0 K: 157.91 kJ/mol of atoms

***

IrOs3F: relaxed, PBE-GGA.

a = 4.155 Å, b = 4.155 Å, c = 4.155 Å
α = 90.00°, β = 90.00°, γ = 90.00°
Space group Pm-3m (No. 221)
One atom of each set of equivalent atoms:
1 Ir 0.000 0.000 0.000 [1 per cell]
2 Os 0.000 0.500 0.500 [3 per cell]
3 F 0.500 0.500 0.500 [1 per cell]

- Energy: -7.30 eV per atom
- Uncorrected formation energy: 7.90 eV/f.u.
- Spin magnetization: 0.00 μB per cell
- Distance to the lowest polymorph of the same formula: 0 meV per atom
- Fermi-level density of states: 4.53 states/eV/f.u.

***

MgPbCl: relaxed, PBE-GGA.

a = 16.583 Å, b = 3.487 Å, c = 6.040 Å
α = 90.00°, β = 90.00°, γ = 90.00°
Space group Amm2 (No. 38)
One atom of each set of equivalent atoms:
1 Mg 0.000 0.000 0.000 [2 per cell]
2 Mg 0.500 0.000 0.220 [2 per cell]
3 Pb 0.153 0.000 0.333 [4 per cell]
4 Cl 0.407 0.000 0.887 [4 per cell]

- Energy: -3.18 eV per atom
- Uncorrected formation energy: -2.38 eV/f.u.
- Spin magnetization: 0.00 μB per cell
- Distance to the lowest polymorph of the same formula: 0 meV per atom
- Fermi-level density of states: 0.94 states/eV/f.u.

***

CdAg3Pt: relaxed, PBE-GGA.

a = 5.117 Å, b = 5.117 Å, c = 5.117 Å
α = 90.00°, β = 90.00°, γ = 90.00°
Space group Pm-3m (No. 221)
One atom of each set of equivalent atoms:
1 Cd 0.000 0.000 0.000 [1 per cell]
2 Ag 0.000 0.500 0.500 [3 per cell]
3 Pt 0.500 0.500 0.500 [1 per cell]

- Energy: -2.46 eV per atom
- Spin magnetization: 0.00 μB per cell
- Distance to the lowest polymorph of the same formula: 632 meV per atom
- Fermi-level density of states: 2.66 states/eV/f.u.
- Formation enthalpy at 0 K: 61.54 kJ/mol of atoms